#a
This record from Alexandria describes a geometry-optimized Ti2ZnAu2 structure. The functional is PBE.

Unit cell a=7.6558 b=7.6558 c=3.1089 alpha=90.00 beta=90.00 gamma=90.00
Space group P4/mbm (No. 127)
Asymmetric unit:
Ti 0.1632 0.3368 0.0000 x4
Zn 0.0000 0.0000 0.0000 x2
Au 0.1336 0.6336 0.5000 x4

Output
DOS at the Fermi energy ... 0.863 states/eV per atom

#b
This record from Alexandria describes a geometry-optimized Ti2ZnAu2 structure. The functional is PBE.

Unit cell a=10.2105 b=3.0848 c=10.6593 alpha=90.00 beta=90.87 gamma=90.00
Space group C2/m (No. 12)
Asymmetric unit:
Ti 0.0609 0.0000 0.3756 x4
Ti 0.1445 0.0000 0.0356 x4
Zn 0.2437 0.5000 0.2275 x4
Au 0.0419 0.5000 0.8318 x4
Au 0.1609 0.5000 0.5760 x4

Output
DOS at the Fermi energy ... 0.875 states/eV per atom

Most stable pick: #b. Distance to second place: 17.2 kJ/mol of atoms.